The following is a DFT calculation (PBE-GGA) of an optimized crystal structure of Ba2HfZr.

Computed properties:
As for the total energy: -4.759 eV per atom.

Unit cell a=8.142 b=8.142 c=8.142 alpha=90.00 beta=90.00 gamma=90.00
Space group F-43m (No. 216)
Unique sites:
Ba  0.000  0.000  0.000
Ba  0.250  0.250  0.250
Hf  0.250  0.250  0.750
Zr  0.000  0.000  0.500

---

The following is a DFT calculation (PBE-GGA) of an optimized crystal structure of Ba2Hg.

Computed properties:
As for the total energy: -1.717 eV per atom.

Unit cell a=8.042 b=5.797 c=10.856 alpha=90.00 beta=90.00 gamma=90.00
Space group Pnma (No. 62)
Unique sites:
Ba  0.022  0.250  0.186
Ba  0.159  0.250  0.573
Hg  0.226  0.250  0.893

---

The following is a DFT calculation (PBE-GGA) of an optimized crystal structure of BaHg.

Computed properties:
As for the total energy: -1.504 eV per atom.

Unit cell a=7.050 b=7.050 c=7.050 alpha=90.00 beta=90.00 gamma=90.00
Space group Fm-3m (No. 225)
Unique sites:
Ba  0.000  0.000  0.000
Hg  0.000  0.000  0.500

---

The following is a DFT calculation (PBE-GGA) of an optimized crystal structure of BaHg.

Computed properties:
As for the total energy: -1.207 eV per atom.

Unit cell a=7.600 b=7.600 c=7.600 alpha=90.00 beta=90.00 gamma=90.00
Space group F-43m (No. 216)
Unique sites:
Ba  0.000  0.000  0.000
Hg  0.250  0.250  0.750

---

The following is a DFT calculation (PBE-GGA) of an optimized crystal structure of BaHg6.

Computed properties:
As for the total energy: -0.789 eV per atom.

Unit cell a=13.575 b=5.260 c=10.566 alpha=90.00 beta=90.00 gamma=90.00
Space group Pnma (No. 62)
Unique sites:
Ba  0.182  0.250  0.127
Hg  0.005  0.750  0.109
Hg  0.042  0.750  0.635
Hg  0.100  0.750  0.359
Hg  0.135  0.750  0.889
Hg  0.159  0.250  0.491
Hg  0.190  0.250  0.765

---

The following is a DFT calculation (PBE-GGA) of an optimized crystal structure of BaHg3.

Computed properties:
As for the total energy: -1.126 eV per atom.

Unit cell a=12.035 b=12.035 c=9.722 alpha=90.00 beta=90.00 gamma=90.00
Space group P4/ncc (No. 130, origin choice 2)
Unique sites:
Ba  0.099  0.599  0.250
Ba  0.250  0.250  0.144
Hg  0.024  0.646  0.902
Hg  0.055  0.170  0.898
Hg  0.250  0.750  0.000